# 1
Crystalline DyEr2Te5 at its relaxed geometry, computed with PBE. Values from VASP.

```
&SYSTEM
  ibrav = 0, nat = 16, ntyp = 3
/
ATOMIC_SPECIES
Dy 162.50 Dy.upf
Er 167.26 Er.upf
Te 127.60 Te.upf
CELL_PARAMETERS angstrom
8.045 0.000 0.000
0.000 8.045 0.000
-4.022 -4.022 7.151
ATOMIC_POSITIONS crystal
Dy 0.750 0.750 0.500
Dy 0.250 0.250 0.500
Er 0.150 0.350 0.000
Er 0.650 0.150 0.000
Er 0.350 0.850 0.000
Er 0.850 0.650 0.000
Te 0.512 0.691 0.703
Te 0.809 0.988 0.297
Te 0.000 0.000 0.000
Te 0.500 0.500 0.000
Te 0.191 0.012 0.703
Te 0.691 0.191 0.703
Te 0.012 0.512 0.703
Te 0.309 0.809 0.297
Te 0.988 0.488 0.297
Te 0.488 0.309 0.297
```

Results
As for the space group: I4/mcm. The calculation puts the uncorrected formation energy at -1120 meV/atom. The value obtained for the density of states at the Fermi level is 11.305 states/eV per cell.

# 2
Crystalline DyEr3Te6 at its relaxed geometry, computed with PBE. Values from VASP.

```
&SYSTEM
  ibrav = 0, nat = 20, ntyp = 3
/
ATOMIC_SPECIES
Dy 162.50 Dy.upf
Er 167.26 Er.upf
Te 127.60 Te.upf
CELL_PARAMETERS angstrom
4.323 0.000 0.000
0.000 11.715 -4.089
0.000 -0.041 12.721
ATOMIC_POSITIONS crystal
Dy 0.750 0.045 0.695
Dy 0.250 0.955 0.305
Er 0.750 0.432 0.834
Er 0.250 0.568 0.166
Er 0.750 0.684 0.502
Er 0.250 0.316 0.498
Er 0.750 0.156 0.080
Er 0.250 0.844 0.920
Te 0.750 0.483 0.618
Te 0.250 0.517 0.382
Te 0.750 0.917 0.100
Te 0.250 0.083 0.900
Te 0.750 0.393 0.062
Te 0.250 0.607 0.938
Te 0.750 0.747 0.280
Te 0.250 0.253 0.720
Te 0.750 0.111 0.467
Te 0.250 0.889 0.533
Te 0.750 0.808 0.750
Te 0.250 0.192 0.250
```

Results
As for the space group: P2_1/m. The calculation puts the uncorrected formation energy at -1353 meV/atom.